No. 1
Here is a geometry-optimized FeTeO3 structure from the Alexandria database. Energies are from GGA+U.

Structure (POSCAR):
```
FeTeO3
1.0
5.281 -0.241 -0.239
0.818 7.111 -0.480
0.818 -0.428 7.114
O Fe Te
12 4 4
Direct
0.987 0.228 0.959
0.487 0.959 0.228
0.892 0.847 0.442
0.108 0.153 0.558
0.013 0.772 0.041
0.608 0.558 0.153
0.622 0.286 0.463
0.392 0.442 0.847
0.878 0.537 0.714
0.378 0.714 0.537
0.122 0.463 0.286
0.513 0.041 0.772
0.750 0.265 0.735
0.250 0.422 0.578
0.750 0.578 0.422
0.250 0.735 0.265
0.293 0.304 0.059
0.207 0.941 0.696
0.793 0.059 0.304
0.707 0.696 0.941
```

Properties
**E**: -5.842 eV/atom
**SG**: C2/c

---

No. 2
Here is a geometry-optimized Fe3TeO8 structure from the Alexandria database. Energies are from GGA+U.

Structure (POSCAR):
```
Fe3TeO8
1.0
2.965 -5.135 0.000
2.965 5.135 0.000
0.000 0.000 9.292
Fe Te O
6 2 16
Direct
0.832 0.664 0.708
0.832 0.168 0.708
0.336 0.168 0.708
0.168 0.336 0.208
0.168 0.832 0.208
0.664 0.832 0.208
0.333 0.667 0.486
0.667 0.333 0.986
0.173 0.827 0.597
0.827 0.654 0.097
0.333 0.667 0.114
0.960 0.480 0.848
0.346 0.173 0.097
0.654 0.827 0.597
0.827 0.173 0.097
0.480 0.520 0.348
0.480 0.960 0.348
0.040 0.520 0.348
0.173 0.346 0.597
0.520 0.480 0.848
0.667 0.333 0.614
0.000 0.000 0.296
0.520 0.040 0.848
0.000 0.000 0.796
```

Properties
**E**: -5.916 eV/atom
**SG**: P6_3mc

---

No. 3
Here is a geometry-optimized FeTe2O structure from the Alexandria database. Energies are from GGA+U.

Structure (POSCAR):
```
FeTe2O
1.0
-3.866 3.010 -2.658
-1.066 -4.327 -3.348
-6.925 -2.748 1.117
Te O Fe
4 2 2
Direct
0.552 0.125 0.250
0.198 0.625 0.250
0.875 0.802 0.750
0.375 0.448 0.750
0.500 0.500 0.000
0.250 0.750 0.500
0.000 0.000 0.000
0.750 0.250 0.500
```

Properties
**E**: -3.917 eV/atom
**SG**: I-42d

---

No. 4
Here is a geometry-optimized FeTe2O structure from the Alexandria database. Energies are from GGA+U.

Structure (POSCAR):
```
FeTe2O
1.0
1.869 0.000 9.115
-0.935 1.619 9.115
-0.935 -1.619 9.115
Te O Fe
2 1 1
Direct
0.899 0.899 0.899
0.101 0.101 0.101
0.500 0.500 0.500
0.000 0.000 0.000
```

Properties
**E**: -3.638 eV/atom
**SG**: R-3m

---

No. 5
Here is a geometry-optimized Fe2TeO5 structure from the Alexandria database. Energies are from GGA+U.

Structure (POSCAR):
```
Fe2TeO5
1.0
-3.298 3.728 -0.778
-0.465 -1.979 -7.510
-8.181 -7.272 -0.169
O Te Fe
20 4 8
Direct
0.370 0.898 0.734
0.876 0.424 0.839
0.701 0.741 0.435
0.250 0.949 0.485
0.604 0.770 0.183
0.201 0.259 0.065
0.124 0.576 0.161
0.396 0.230 0.817
0.104 0.230 0.317
0.624 0.424 0.339
0.130 0.898 0.234
0.630 0.102 0.266
0.750 0.051 0.015
0.896 0.770 0.683
0.250 0.949 0.985
0.750 0.051 0.515
0.870 0.102 0.766
0.799 0.741 0.935
0.299 0.259 0.565
0.376 0.576 0.661
0.060 0.643 0.833
0.940 0.357 0.167
0.560 0.357 0.667
0.440 0.643 0.333
0.454 0.185 0.408
0.571 0.969 0.869
0.546 0.815 0.592
0.929 0.969 0.369
0.071 0.031 0.631
0.954 0.815 0.092
0.046 0.185 0.908
0.429 0.031 0.131
```

Properties
**Energy relative to the lowest polymorph listed for this composition**: 0 meV/atom
**SG**: P2_1/c

---

No. 6
Here is a geometry-optimized Fe2TeO5 structure from the Alexandria database. Energies are from GGA+U.

Structure (POSCAR):
```
Fe2TeO5
1.0
4.554 0.142 2.521
2.526 5.143 0.892
-0.032 0.553 5.772
O Fe Te
5 2 1
Direct
0.069 0.833 0.299
0.400 0.777 0.777
0.069 0.299 0.833
0.736 0.915 0.915
0.580 0.269 0.269
0.587 0.062 0.609
0.587 0.609 0.062
0.972 0.012 0.012
```

Properties
**Energy relative to the lowest polymorph listed for this composition**: 205 meV/atom
**SG**: Cm

---

No. 7
Here is a geometry-optimized FeTeO3 structure from the Alexandria database. Energies are from GGA+U.

Structure (POSCAR):
```
FeTeO3
1.0
3.896 0.000 0.000
0.000 3.896 0.000
0.000 0.000 3.896
O Te Fe
3 1 1
Direct
0.000 0.000 0.500
0.000 0.500 0.000
0.500 0.000 0.000
0.500 0.500 0.500
0.000 0.000 0.000
```

Properties
**E**: -5.294 eV/atom
**SG**: Pm-3m

---

No. 8
Here is a geometry-optimized FeTe2O structure from the Alexandria database. Energies are from GGA+U.

Structure (POSCAR):
```
FeTe2O
1.0
-5.814 0.403 4.416
-2.483 0.292 6.872
-3.607 3.845 5.068
Te Fe O
2 1 1
Direct
0.098 0.098 0.098
0.902 0.902 0.902
0.500 0.500 0.500
0.000 0.000 0.000
```

Properties
**E**: -4.110 eV/atom
**SG**: R-3m

---

No. 9
Here is a geometry-optimized FeTeO4 structure from the Alexandria database. Energies are from GGA+U.

Structure (POSCAR):
```
FeTeO4
1.0
-2.544 3.917 -0.908
-1.651 0.183 5.418
4.825 2.931 -0.876
Te O Fe
2 8 2
Direct
0.500 0.500 0.000
0.000 0.000 0.000
0.781 0.673 0.855
0.823 0.132 0.321
0.281 0.827 0.145
0.177 0.868 0.679
0.323 0.368 0.679
0.719 0.173 0.855
0.677 0.632 0.321
0.219 0.327 0.145
0.000 0.500 0.500
0.500 0.000 0.500
```

Properties
**E**: -5.927 eV/atom
**SG**: P2_1/c

---

No. 10
Here is a geometry-optimized TiFeTeO5 structure from the Alexandria database. Energies are from GGA+U.

Structure (POSCAR):
```
TiFeTeO5
1.0
5.989 -0.178 -0.384
-1.918 5.676 -0.384
-2.112 -2.853 7.085
O Fe Te Ti
10 2 2 2
Direct
0.829 0.613 0.419
0.965 0.035 0.750
0.997 0.351 0.102
0.649 0.003 0.398
0.387 0.171 0.081
0.035 0.965 0.250
0.171 0.387 0.581
0.613 0.829 0.919
0.003 0.649 0.898
0.351 0.997 0.602
0.759 0.241 0.750
0.241 0.759 0.250
0.254 0.746 0.750
0.746 0.254 0.250
0.000 0.000 0.000
0.000 0.000 0.500
```

Properties
**E**: -6.869 eV/atom
**SG**: C2/c

---

No. 11
Here is a geometry-optimized TlFeTe2O8 structure from the Alexandria database. Energies are from GGA+U.

Structure (POSCAR):
```
TlFeTe2O8
1.0
-0.953 -0.069 6.080
-4.530 -2.752 -3.127
5.220 -3.055 -1.138
O Te Tl Fe
8 2 1 1
Direct
0.927 0.229 0.303
0.500 0.690 0.811
0.310 0.121 0.811
0.310 0.500 0.189
0.376 0.073 0.303
0.879 0.690 0.189
0.927 0.624 0.697
0.771 0.073 0.697
0.750 0.250 0.500
0.500 0.500 0.000
0.250 0.750 0.500
0.000 0.000 0.000
```

Properties
**E**: -5.232 eV/atom
**SG**: I-4m2

---

No. 12
Here is a geometry-optimized TlFe2Te2O6 structure from the Alexandria database. Energies are from GGA+U.

Structure (POSCAR):
```
TlFe2Te2O6
1.0
5.762 0.404 -0.224
3.419 6.875 -0.288
-0.657 -4.177 4.590
Tl O Fe Te
1 6 2 2
Direct
0.500 0.000 0.500
0.120 0.381 0.719
0.201 0.923 0.629
0.577 0.298 0.005
0.423 0.702 0.995
0.880 0.619 0.281
0.799 0.077 0.371
0.840 0.341 0.840
0.160 0.659 0.160
0.207 0.707 0.707
0.793 0.293 0.293
```

Properties
**E**: -5.410 eV/atom
**SG**: P-1

---

No. 13
Here is a geometry-optimized Tl2FeTeO6 structure from the Alexandria database. Energies are from GGA+U.

Structure (POSCAR):
```
Tl2FeTeO6
1.0
-1.377 5.540 0.699
-5.487 1.674 -0.414
-2.874 1.660 4.844
O Tl Fe Te
6 2 1 1
Direct
0.921 0.615 0.290
0.646 0.088 0.782
0.483 0.646 0.782
0.088 0.484 0.782
0.174 0.921 0.290
0.615 0.174 0.290
0.547 0.547 0.360
0.048 0.048 0.856
0.818 0.818 0.547
0.321 0.321 0.036
```

Properties
**E**: -5.147 eV/atom
**SG**: R3

---

No. 14
Here is a geometry-optimized TlFeTeO4 structure from the Alexandria database. Energies are from GGA+U.

Structure (POSCAR):
```
TlFeTeO4
1.0
-1.909 3.702 -4.853
-4.914 1.713 3.240
4.912 2.470 6.143
Fe O Tl Te
2 8 2 2
Direct
0.263 0.250 0.481
0.737 0.750 0.519
0.958 0.513 0.673
0.549 0.250 0.457
0.520 0.250 0.757
0.042 0.013 0.327
0.480 0.750 0.243
0.042 0.487 0.327
0.958 0.987 0.673
0.451 0.750 0.543
0.398 0.750 0.851
0.602 0.250 0.149
0.168 0.750 0.264
0.832 0.250 0.736
```

Properties
**E**: -5.445 eV/atom
**SG**: P2_1/m

---

No. 15
Here is a geometry-optimized UFeTeO6 structure from the Alexandria database. Energies are from GGA+U.

Structure (POSCAR):
```
UFeTeO6
1.0
5.590 0.000 0.000
-2.795 4.841 0.000
0.000 0.000 8.904
Fe U O Te
2 2 12 2
Direct
0.000 0.000 0.500
0.000 0.000 0.000
0.333 0.667 0.750
0.667 0.333 0.250
0.009 0.677 0.873
0.323 0.991 0.627
0.009 0.332 0.627
0.668 0.991 0.873
0.991 0.323 0.127
0.677 0.009 0.373
0.991 0.668 0.373
0.332 0.323 0.373
0.332 0.009 0.127
0.323 0.332 0.873
0.668 0.677 0.627
0.677 0.668 0.127
0.333 0.667 0.250
0.667 0.333 0.750
```

Properties
**E**: -7.323 eV/atom
**SG**: P-31c

---

No. 16
Here is a geometry-optimized Zn2FeTeO6 structure from the Alexandria database. Energies are from GGA+U.

Structure (POSCAR):
```
Zn2FeTeO6
1.0
-4.122 -0.593 3.206
-1.078 -4.772 1.966
0.991 -0.948 5.469
O Zn Fe Te
6 2 1 1
Direct
0.116 0.413 0.777
0.949 0.580 0.251
0.214 0.944 0.261
0.417 0.699 0.776
0.693 0.116 0.779
0.576 0.220 0.257
0.534 0.532 0.398
0.029 0.026 0.913
0.813 0.812 0.563
0.320 0.320 0.040
```

Properties
**E**: -5.376 eV/atom
**SG**: P1

---

No. 17
Here is a geometry-optimized ZnFeTe2O8 structure from the Alexandria database. Energies are from GGA+U.

Structure (POSCAR):
```
ZnFeTe2O8
1.0
-4.944 2.714 -1.829
2.217 -3.427 -4.301
-1.295 -3.396 4.685
O Te Zn Fe
8 2 1 1
Direct
0.931 0.228 0.298
0.477 0.680 0.797
0.772 0.069 0.702
0.883 0.680 0.203
0.320 0.117 0.797
0.367 0.069 0.298
0.320 0.523 0.203
0.931 0.633 0.702
0.500 0.500 0.000
0.750 0.250 0.500
0.250 0.750 0.500
0.000 0.000 0.000
```

Properties
**E**: -5.247 eV/atom
**SG**: I-4m2

---

No. 18
Here is a geometry-optimized ZrFeTeO6 structure from the Alexandria database. Energies are from GGA+U.

Structure (POSCAR):
```
ZrFeTeO6
1.0
-4.775 -0.831 -2.294
3.642 -3.934 0.110
-3.265 -2.803 7.811
O Fe Te Zr
12 2 2 2
Direct
0.328 0.340 0.872
0.988 0.328 0.128
0.660 0.672 0.628
0.012 0.340 0.628
0.988 0.660 0.372
0.012 0.672 0.872
0.340 0.012 0.128
0.660 0.988 0.872
0.328 0.988 0.628
0.672 0.012 0.372
0.340 0.328 0.372
0.672 0.660 0.128
0.000 0.000 0.500
0.000 0.000 0.000
0.667 0.333 0.250
0.333 0.667 0.750
0.667 0.333 0.750
0.333 0.667 0.250
```

Properties
**E**: -6.926 eV/atom
**SG**: P-31c

---

No. 19
Here is a geometry-optimized ZrFe2TeO6 structure from the Alexandria database. Energies are from GGA+U.

Structure (POSCAR):
```
ZrFe2TeO6
1.0
5.429 -0.061 0.029
2.662 4.788 -0.037
2.721 1.523 4.911
Te O Fe Zr
1 6 2 1
Direct
0.335 0.291 0.062
0.420 0.733 0.765
0.628 0.206 0.238
0.219 0.927 0.258
0.882 0.633 0.271
0.696 0.111 0.769
0.115 0.433 0.722
0.520 0.516 0.433
0.033 0.013 0.936
0.816 0.799 0.561
```

Properties
**E**: -7.054 eV/atom
**SG**: P1